[1]
Compound: NpU2Mo
Source: Alexandria via LeMat-Bulk
Functional: GGA-PBE
Structure: relaxed

a b c (Å): 4.438 4.438 5.094
angles (deg): 64.18 64.18 60.00
Last column: magnetic moment on the atom in μB.
Sites, in units of the cell vectors:
U1 0.763 0.763 0.711  0.11
U2 0.237 0.237 0.289  0.11
Np1 0.500 0.500 0.500  0.62
Mo1 0.000 0.000 0.000  -0.03

Properties
Its symmetry is R-3m (166). Its formation energy is 0.175 eV/atom.

=====

[2]
Compound: AcSb7Pb12
Source: Alexandria via LeMat-Bulk
Functional: GGA-PBE
Structure: relaxed

a b c (Å): 9.077 9.604 9.604
angles (deg): 69.44 71.64 108.36
Sites, in units of the cell vectors:
Pb1 0.142 0.211 0.263
Pb2 0.595 0.737 0.474
Pb3 0.405 0.263 0.526
Pb4 0.600 0.352 0.030
Pb5 0.931 0.526 0.211
Pb6 0.069 0.474 0.789
Pb7 0.248 0.618 0.352
Pb8 0.858 0.789 0.737
Pb9 0.400 0.648 0.970
Pb10 0.752 0.382 0.648
Pb11 0.630 0.030 0.618
Pb12 0.370 0.970 0.382
Sb1 0.185 0.808 0.814
Sb2 0.500 0.000 0.000
Sb3 0.623 0.622 0.192
Sb4 0.998 0.814 0.378
Sb5 0.377 0.378 0.808
Sb6 0.815 0.192 0.186
Sb7 0.002 0.186 0.622
Ac1 0.000 0.000 0.000

Properties
Its symmetry is R-3 (148). The calculation puts the uncorrected formation energy at -0.07 eV per atom.